ScAs2Se | PBE | relaxed

Lattice parameters (Å, degrees): 3.509 3.509 7.283 90.00 90.00 90.00
Fractional positions:
Sc 0.000 0.000 0.000
As 0.000 0.000 0.584
As 0.500 0.500 0.717
Se 0.500 0.500 0.167

Magnetic moment (μB per atom): 0.000
DFT total energy (eV per atom): -5.3828
Fermi-level density of states (states/eV per atom): 0.52
SG: P4mm (99)

=====

Th4Ni3As8 | PBE | relaxed

Lattice parameters (Å, degrees): 4.082 4.082 18.727 90.00 90.00 90.00
Fractional positions:
Th 0.000 0.500 0.116
Th 0.000 0.500 0.627
Th 0.500 0.000 0.373
Th 0.500 0.000 0.884
Ni 0.000 0.000 0.000
Ni 0.000 0.000 0.500
Ni 0.500 0.500 0.500
As 0.000 0.000 0.245
As 0.000 0.000 0.755
As 0.000 0.500 0.428
As 0.000 0.500 0.935
As 0.500 0.000 0.065
As 0.500 0.000 0.572
As 0.500 0.500 0.245
As 0.500 0.500 0.755

Magnetic moment (μB per atom): 0.006
DFT total energy (eV per atom): -6.5687
Formation energy from the elements (meV/atom): -954
Fermi-level density of states (states/eV per atom): 0.76
SG: P-4m2 (115)

=====

Nd4Tl3Cd | PBE | relaxed

Lattice parameters (Å, degrees): 3.944 4.995 12.400 90.00 90.00 90.00
Fractional positions:
Nd 0.000 0.000 0.000
Nd 0.000 0.500 0.298
Nd 0.500 0.000 0.494
Nd 0.500 0.500 0.798
Tl 0.000 0.000 0.732
Tl 0.000 0.500 0.564
Tl 0.500 0.500 0.068
Cd 0.500 0.000 0.225

Magnetic moment (μB per atom): 0.011
DFT total energy (eV per atom): -3.7020
Formation energy from the elements (meV/atom): -316
Fermi-level density of states (states/eV per atom): 0.93
SG: Pmm2 (25)

=====

NaSrSn4 | PBE | relaxed

Lattice parameters (Å, degrees): 6.367 6.367 6.367 60.00 60.00 60.00
Fractional positions:
Na 0.000 0.000 0.000
Sr 0.250 0.250 0.250
Sn 0.125 0.625 0.625
Sn 0.625 0.125 0.625
Sn 0.625 0.625 0.125
Sn 0.625 0.625 0.625

Magnetic moment (μB per atom): 0.000
DFT total energy (eV per atom): -3.4532
Formation energy from the elements (meV/atom): -284
Fermi-level density of states (states/eV per atom): 1.60
SG: F-43m (216)